## KYIn2 (PBE)

Data for crystalline KYIn2 at its relaxed geometry.

```
KYIn2
1.0
-1.761 2.877 6.051
1.761 -2.877 6.051
1.761 2.877 -6.051
K Y In
1 1 2
Direct
0.000 0.000 0.000
0.296 0.796 0.500
0.528 0.528 0.000
0.736 0.236 0.500
```

formation energy from the elements = -0.070 eV per atom
energy above the most stable polymorph in this dataset = 0.695 eV per formula unit
crystal system = orthorhombic
size of the total moment = 0.00 Bohr magnetons per cell